Below is an optimized crystal structure of NaErFeO3, with properties calculated at the PBE+U level.

Cell lengths 3.5413, 6.6343, 9.1974 Å; angles 108.02, 90.00, 90.00 degrees
Site moments in Bohr magnetons follow the coordinates.
Atoms (fractional coordinates):
O (0.2500, 0.8971, 0.3889)  -0.03
O (0.7500, 0.4455, 0.1137)  0.00
O (0.7500, 0.9071, 0.1467)  -0.03
O (0.2500, 0.0929, 0.8533)  -0.03
O (0.7500, 0.1029, 0.6111)  -0.03
O (0.2500, 0.5545, 0.8863)  0.00
Na (0.2500, 0.1713, 0.1285)  0.00
Na (0.7500, 0.8287, 0.8715)  0.00
Fe (0.2500, 0.0069, 0.6252)  2.02
Fe (0.7500, 0.9931, 0.3748)  2.02
Er (0.7500, 0.3267, 0.8592)  -0.01
Er (0.2500, 0.6733, 0.1408)  -0.01

Calculated values
- Fermi-level density of states: 0.0 states/eV/f.u.
- Theoretical density: 4.8 Mg/m³
- SG: P2_1/m
- Crystal system: monoclinic
- Magnetic moment: 2.00 μB per formula unit
- E_tot: -76.57 eV per cell